1.
Material: Ho3ErSn2C
Method: DFT, GGA-PBE
State: optimized geometry

Summary:
total magnetization = 0.0 Bohr magnetons per cell
calculated total energy = -5.75 eV per atom

Unit cell a=4.7542 b=4.7693 c=15.8629 alpha=90.00 beta=90.00 gamma=90.00
With the nearest neighbours (Å) after each atom.
Space group Immm (No. 71)
Symmetry-distinct sites (fractional):
Ho 0.0000 0.0000 0.0000 (multiplicity 2)  2 C 2.38
Ho 0.0000 0.5000 0.1587 (multiplicity 4)  1 C 2.52
Er 0.0000 0.0000 0.5000 (multiplicity 2)  2 C 2.38
Sn 0.0000 0.5000 0.3596 (multiplicity 4)  7 Ho 3.19-3.38, 2 Er 3.26
C 0.0000 0.5000 0.0000 (multiplicity 2)  2 Er 2.38, 4 Ho 2.38-2.52

---

2.
Material: HoErTeC
Method: DFT, GGA-PBE
State: optimized geometry

Summary:
total magnetization = 0.0 Bohr magnetons per cell
calculated total energy = -6.22 eV per atom

Unit cell a=3.7820 b=3.7820 c=21.1724 alpha=90.00 beta=90.00 gamma=120.00
With the nearest neighbours (Å) after each atom.
Space group R3m (No. 160, hexagonal axes)
Symmetry-distinct sites (fractional):
Ho 0.0000 0.0000 0.0000 (multiplicity 3)  3 C 2.56
Er 0.0000 0.0000 0.7897 (multiplicity 3)  3 C 2.53
Te 0.0000 0.0000 0.2276 (multiplicity 3)  3 Er 3.11, 3 Ho 3.13
C 0.0000 0.0000 0.3964 (multiplicity 3)  3 Er 2.53, 3 Ho 2.56